1.
3
Lattice="-2.323 -2.806 -0.431 1.900 -1.950 2.459 -3.510 4.731 3.727" Properties=species:S:1:pos:R:3 comment="PmEuPd, optimized geometry, DFT PBE-GGA" sg="No. 107" formation_enthalpy_0k_ev_per_atom=-0.468 pbc="T T T"
Eu -0.206 0.130 0.263
Pd -1.536 -1.541 2.700
Pm -2.191 1.385 2.792

2.
12
Lattice="-0.411 -0.377 7.154 -3.985 -4.378 -4.054 6.589 -3.127 -0.985" Properties=species:S:1:pos:R:3 comment="NdPu2Th3Se6, optimized geometry, DFT PBE-GGA" sg="No. 12" raw_formation_energy_mev_per_atom=-1595 pbc="T T T"
Nd 0.000 0.000 0.000
Pu -2.796 -3.047 -0.326
Pu -1.600 -1.708 3.425
Th -0.109 -5.291 -2.723
Th 2.302 -2.592 4.838
Th 1.097 -3.941 1.057
Se 2.290 -5.244 3.475
Se -1.677 -4.271 2.060
Se -0.096 -2.638 -1.360
Se 1.079 -6.599 -0.321
Se 3.871 -3.611 0.055
Se 1.115 -1.283 2.435